{"formula": "HfCuPb", "functional": "PBE", "state": "relaxed", "total_energy_ev_per_atom": -5.698, "density_g_cm3": 12.4, "cell": [[3.2969, 0.0000, 0.0000], [0.0000, 3.2969, 0.0000], [0.0000, 0.0000, 11.0735]], "species": ["Hf", "Hf", "Cu", "Cu", "Pb", "Pb"], "frac_coords": [[0.0000, 0.0000, 0.0000], [0.5000, 0.5000, 0.5000], [0.0000, 0.0000, 0.3664], [0.5000, 0.5000, 0.8664], [0.0000, 0.0000, 0.7036], [0.5000, 0.5000, 0.2036]]}